Entry 1:
## TaAl2Pt2 (GGA-PBE)

Data for crystalline TaAl2Pt2 at its relaxed geometry.

Unit cell a=3.878 b=3.878 c=6.117 alpha=71.52 beta=71.52 gamma=90.00
Atoms (fractional coordinates):
Al1 0.390 0.390 0.219
Al2 0.610 0.610 0.781
Ta1 0.000 0.000 0.000
Pt1 0.750 0.250 0.500
Pt2 0.250 0.750 0.500

Values from the calculation:
Final energy, eV/atom: -6.678

=====

Entry 2:
## TaAlPt (GGA-PBE)

Data for crystalline TaAlPt at its relaxed geometry.

Unit cell a=5.487 b=5.487 c=12.066 alpha=90.00 beta=90.00 gamma=120.00
Atoms (fractional coordinates):
Ta1 0.000 0.000 0.500
Ta2 0.000 0.500 0.333
Ta3 0.500 0.000 0.667
Al1 0.000 0.500 0.648
Ta4 0.000 0.000 0.833
Pt1 0.725 0.363 0.833
Al2 0.500 0.500 0.685
Ta5 0.000 0.000 0.167
Al3 0.500 0.000 0.352
Pt2 0.637 0.363 0.500
Al4 0.500 0.000 0.981
Ta6 0.500 0.500 0.000
Pt3 0.363 0.637 0.500
Pt4 0.363 0.725 0.167
Pt5 0.275 0.637 0.833
Al5 0.500 0.500 0.315
Al6 0.000 0.500 0.019
Pt6 0.637 0.275 0.167

Values from the calculation:
Final energy, eV/atom: -7.421

=====

Entry 3:
## TaAl3Pt (GGA-PBE)

Data for crystalline TaAl3Pt at its relaxed geometry.

Unit cell a=4.910 b=4.910 c=4.910 alpha=90.00 beta=90.00 gamma=90.00
Atoms (fractional coordinates):
Al1 0.500 0.000 0.000
Al2 0.000 0.000 0.500
Pt1 0.500 0.500 0.500
Ta1 0.000 0.000 0.000
Al3 0.000 0.500 0.000

Values from the calculation:
Final energy, eV/atom: -4.623

=====

Entry 4:
## TaAlPt (GGA-PBE)

Data for crystalline TaAlPt at its relaxed geometry.

Unit cell a=5.988 b=5.988 c=2.901 alpha=75.98 beta=75.98 gamma=28.04
Atoms (fractional coordinates):
Pt1 0.655 0.655 0.345
Ta1 0.337 0.337 0.663
Al1 0.008 0.008 0.992

Values from the calculation:
Final energy, eV/atom: -7.891

=====

Entry 5:
## TaAl4Pt5 (GGA-PBE)

Data for crystalline TaAl4Pt5 at its relaxed geometry.

Unit cell a=3.227 b=2.835 c=16.519 alpha=90.00 beta=90.00 gamma=90.00
Atoms (fractional coordinates):
Al1 0.000 0.000 0.402
Ta1 0.000 0.000 0.000
Pt1 0.500 0.500 0.114
Pt2 0.500 0.500 0.305
Pt3 0.500 0.500 0.500
Pt4 0.500 0.500 0.695
Al2 0.000 0.000 0.208
Al3 0.000 0.000 0.598
Pt5 0.500 0.500 0.886
Al4 0.000 0.000 0.792

Values from the calculation:
Final energy, eV/atom: -6.582

=====

Entry 6:
## TaAl3Pt (GGA-PBE)

Data for crystalline TaAl3Pt at its relaxed geometry.

Unit cell a=4.669 b=4.669 c=4.669 alpha=90.00 beta=90.00 gamma=90.00
Atoms (fractional coordinates):
Al1 0.500 0.000 0.000
Ta1 0.500 0.500 0.500
Al2 0.000 0.500 0.000
Al3 0.000 0.000 0.500
Pt1 0.000 0.000 0.000

Values from the calculation:
Final energy, eV/atom: -5.391

=====

Going through the records in order, we get formation energy values of -0.39, -0.21, 1.20, -0.68, -0.88, 0.43 eV/atom.